1.
Entry from Alexandria via LeMat-Bulk: a geometry-optimized La5ErTm2 structure (PBE).

Properties
Distance to the lowest polymorph of the same formula in meV/atom: 0
E_tot in eV/f.u.: -37.19
DFT formation energy in eV/atom: 0.119

Cell: 6.6781 6.6781 16.5040 Å, 90.00 90.00 129.98°
With the nearest neighbours (Å) after each atom.
Element x y z (fractional)
La (0.0303, 0.9697, 0.7500)  1 Er 3.37, 2 Tm 3.48, 2 La 3.73
La (0.1164, 0.8836, 0.0513)  1 La 3.29, 3 Tm 3.43-3.66, 1 Er 3.65
La (0.1164, 0.8836, 0.4487)  1 La 3.29, 3 Tm 3.43-3.66, 1 Er 3.65
La (0.4255, 0.5745, 0.0946)  1 Er 3.35, 5 La 3.60-3.74, 1 Tm 3.71
La (0.4255, 0.5745, 0.4054)  1 Er 3.35, 5 La 3.60-3.74, 1 Tm 3.71
La (0.5745, 0.4255, 0.5946)  1 Er 3.35, 5 La 3.60-3.74, 1 Tm 3.71
La (0.5745, 0.4255, 0.9054)  1 Er 3.35, 5 La 3.60-3.74, 1 Tm 3.71
La (0.8836, 0.1164, 0.5513)  1 La 3.29, 3 Tm 3.43-3.66, 1 Er 3.65
La (0.8836, 0.1164, 0.9487)  1 La 3.29, 3 Tm 3.43-3.66, 1 Er 3.65
La (0.9697, 0.0303, 0.2500)  1 Er 3.37, 2 Tm 3.48, 2 La 3.73
Er (0.2481, 0.7519, 0.2500)  5 La 3.35-3.65, 4 Tm 3.38
Er (0.7519, 0.2481, 0.7500)  5 La 3.35-3.65, 4 Tm 3.38
Tm (0.2735, 0.7265, 0.6380)  2 Er 3.38, 7 La 3.43-3.78, 1 Tm 3.70
Tm (0.2735, 0.7265, 0.8620)  2 Er 3.38, 7 La 3.43-3.78, 1 Tm 3.70
Tm (0.7265, 0.2735, 0.1380)  2 Er 3.38, 7 La 3.43-3.78, 1 Tm 3.70
Tm (0.7265, 0.2735, 0.3620)  2 Er 3.38, 7 La 3.43-3.78, 1 Tm 3.70

2.
Entry from Alexandria via LeMat-Bulk: a geometry-optimized La2ErTm2 structure (PBE).

Properties
Distance to the lowest polymorph of the same formula in meV/atom: 5
E_tot in eV/f.u.: -23.21
DFT formation energy in eV/atom: 0.030

Cell: 6.8035 6.8035 9.3523 Å, 107.74 107.74 55.22°
With the nearest neighbours (Å) after each atom.
Element x y z (fractional)
La (0.0725, 0.7308, 0.5510)  6 Tm 3.55-3.69, 3 Er 3.57-3.68, 3 La 3.57-3.66
La (0.2692, 0.9275, 0.9490)  6 Tm 3.55-3.69, 3 Er 3.57-3.68, 3 La 3.57-3.66
La (0.7308, 0.0725, 0.0510)  6 Tm 3.55-3.69, 3 Er 3.57-3.68, 3 La 3.57-3.66
La (0.9275, 0.2692, 0.4490)  6 Tm 3.55-3.69, 3 Er 3.57-3.68, 3 La 3.57-3.66
Er (0.3361, 0.6639, 0.2500)  6 Tm 3.53-3.70, 6 La 3.57-3.68
Er (0.6639, 0.3361, 0.7500)  6 Tm 3.53-3.70, 6 La 3.57-3.68
Tm (0.1281, 0.4638, 0.8499)  3 Tm 3.51-3.64, 3 Er 3.53-3.70, 6 La 3.55-3.69
Tm (0.4638, 0.1281, 0.3499)  3 Tm 3.51-3.64, 3 Er 3.53-3.70, 6 La 3.55-3.69
Tm (0.5362, 0.8719, 0.6501)  3 Tm 3.51-3.64, 3 Er 3.53-3.70, 6 La 3.55-3.69
Tm (0.8719, 0.5362, 0.1501)  3 Tm 3.51-3.64, 3 Er 3.53-3.70, 6 La 3.55-3.69

3.
Entry from Alexandria via LeMat-Bulk: a geometry-optimized La10Er4Tm structure (PBE).

Properties
E_tot in eV/f.u.: -67.94
DFT formation energy in eV/atom: 0.271

Cell: 8.7989 8.7989 8.7989 Å, 111.46 111.46 105.57°
With the nearest neighbours (Å) after each atom.
Element x y z (fractional)
La (0.0461, 0.3757, 0.1073)  5 La 3.16-3.44
La (0.0612, 0.9539, 0.3297)  5 La 3.16-3.44
La (0.2500, 0.7500, 0.5000)  4 La 3.16, 4 Er 3.19
La (0.2685, 0.9388, 0.8927)  5 La 3.16-3.44
La (0.3757, 0.2685, 0.3297)  5 La 3.16-3.44
La (0.6243, 0.7315, 0.6703)  5 La 3.16-3.44
La (0.7315, 0.0612, 0.1073)  5 La 3.16-3.44
La (0.7500, 0.2500, 0.5000)  4 La 3.16, 4 Er 3.19
La (0.9388, 0.0461, 0.6703)  5 La 3.16-3.44
La (0.9539, 0.6243, 0.8927)  5 La 3.16-3.44
Er (0.1678, 0.4393, 0.6071)  2 La 3.19, 1 Tm 3.35, 1 Er 3.54
Er (0.4393, 0.8322, 0.2715)  2 La 3.19, 1 Tm 3.35, 1 Er 3.54
Er (0.5607, 0.1678, 0.7285)  2 La 3.19, 1 Tm 3.35, 1 Er 3.54
Er (0.8322, 0.5607, 0.3929)  2 La 3.19, 1 Tm 3.35, 1 Er 3.54
Tm (0.5000, 0.5000, 0.0000)  4 Er 3.35

4.
Entry from Alexandria via LeMat-Bulk: a geometry-optimized La5Er4Tm2 structure (PBE).

Properties
Distance to the lowest polymorph of the same formula in meV/atom: 0
E_tot in eV/f.u.: -50.91
DFT formation energy in eV/atom: 0.084

Cell: 9.0231 9.0231 11.7246 Å, 93.85 93.85 22.72°
With the nearest neighbours (Å) after each atom.
Element x y z (fractional)
La (0.0000, 0.0000, 0.0000)  6 La 3.55-3.64, 6 Er 3.56-3.57
La (0.3234, 0.3234, 0.9283)  4 Er 3.45-3.70, 6 La 3.55-3.65, 2 Tm 3.71
La (0.4010, 0.4010, 0.4647)  4 Er 3.31-3.58, 3 Tm 3.48-3.59, 3 La 3.54-3.55
La (0.5990, 0.5990, 0.5353)  4 Er 3.31-3.58, 3 Tm 3.48-3.59, 3 La 3.54-3.55
La (0.6766, 0.6766, 0.0717)  4 Er 3.45-3.70, 6 La 3.55-3.65, 2 Tm 3.71
Er (0.1404, 0.1404, 0.7969)  6 La 3.49-3.70, 4 Er 3.55-3.63, 2 Tm 3.62
Er (0.4634, 0.4634, 0.7376)  5 La 3.31-3.57, 4 Er 3.55-3.63, 2 Tm 3.70
Er (0.5366, 0.5366, 0.2624)  5 La 3.31-3.57, 4 Er 3.55-3.63, 2 Tm 3.70
Er (0.8596, 0.8596, 0.2031)  6 La 3.49-3.70, 4 Er 3.55-3.63, 2 Tm 3.62
Tm (0.2151, 0.2151, 0.3471)  5 La 3.48-3.71, 2 Tm 3.55, 4 Er 3.62-3.70
Tm (0.7849, 0.7849, 0.6529)  5 La 3.48-3.71, 2 Tm 3.55, 4 Er 3.62-3.70

5.
Entry from Alexandria via LeMat-Bulk: a geometry-optimized LaEr2Tm structure (PBE).

Properties
Distance to the lowest polymorph of the same formula in meV/atom: 0
E_tot in eV/f.u.: -18.49
DFT formation energy in eV/atom: 0.009

Cell: 11.6577 11.6577 11.6577 Å, 17.70 17.70 17.70°
With the nearest neighbours (Å) after each atom.
Element x y z (fractional)
La (0.0000, 0.0000, 0.0000)  6 La 3.59, 6 Er 3.59-3.63
Er (0.4198, 0.4198, 0.4198)  3 Tm 3.48, 6 Er 3.59, 3 La 3.63
Er (0.5813, 0.5813, 0.5813)  3 Tm 3.45, 6 Er 3.59, 3 La 3.59
Tm (0.8343, 0.8343, 0.8343)  6 Er 3.45-3.48, 6 Tm 3.59

6.
Entry from Alexandria via LeMat-Bulk: a geometry-optimized La3Er8Tm3 structure (PBE).

Properties
E_tot in eV/f.u.: -63.20
DFT formation energy in eV/atom: 0.107

Cell: 9.6772 9.6772 9.6772 Å, 146.12 112.53 77.68°
With the nearest neighbours (Å) after each atom.
Element x y z (fractional)
La (0.0000, 0.0000, 0.0000)  4 Tm 3.58, 4 La 3.97, 4 Er 3.98
La (0.1852, 0.6852, 0.5000)  2 Tm 3.56, 8 Er 3.62-3.67, 2 La 3.97
La (0.8148, 0.3148, 0.5000)  2 Tm 3.56, 8 Er 3.62-3.67, 2 La 3.97
Er (0.1194, 0.2813, 0.8381)  6 Er 3.33-3.53, 1 Tm 3.59, 3 La 3.62-3.67
Er (0.2405, 0.8986, 0.3420)  5 Er 3.06-3.40
Er (0.4434, 0.1014, 0.3420)  5 Er 3.06-3.40
Er (0.4432, 0.2813, 0.1619)  6 Er 3.33-3.53, 1 Tm 3.59, 3 La 3.62-3.67
Er (0.5568, 0.7187, 0.8381)  6 Er 3.33-3.53, 1 Tm 3.59, 3 La 3.62-3.67
Er (0.5566, 0.8986, 0.6580)  5 Er 3.06-3.40
Er (0.7595, 0.1014, 0.6580)  5 Er 3.06-3.40
Er (0.8806, 0.7187, 0.1619)  6 Er 3.33-3.53, 1 Tm 3.59, 3 La 3.62-3.67
Tm (0.2048, 0.5000, 0.7048)  1 Tm 3.17, 4 Er 3.53
Tm (0.5000, 0.5000, 0.0000)  2 Tm 3.17
Tm (0.7952, 0.5000, 0.2952)  1 Tm 3.17, 4 Er 3.53

Quick rundown of magnetic moment, same order as above: 0.0000, 0.0001, 0.0000, 0.0000, 0.0185, 0.0003 μB/atom